Record 1
A plane-wave DFT calculation with GGA-PBEsol was carried out for a relaxed structure of AgPtAu2.

abc: 4.0463 4.0463 4.8898
angles: 114.44 114.44 90.00
Last column: nearest neighbours and their distance in Å.
Sites, in units of the cell vectors:
1 Au 0.0000 0.0000 0.0000  4 Au 2.83, 4 Ag 2.83, 4 Pt 2.86
2 Au 0.7500 0.2500 0.5000  4 Pt 2.83, 4 Au 2.83, 4 Ag 2.86
3 Pt 0.5000 0.5000 0.0000  4 Ag 2.83, 8 Au 2.83-2.86
4 Ag 0.2500 0.7500 0.5000  4 Pt 2.83, 8 Au 2.83-2.86

Energy of formation from the pure elements   0.01 eV per atom


Record 2
A plane-wave DFT calculation with GGA-PBEsol was carried out for a relaxed structure of AgPtAu2.

abc: 2.8097 4.0648 5.6853
angles: 90.00 90.00 90.00
Last column: nearest neighbours and their distance in Å.
Sites, in units of the cell vectors:
1 Au 0.0000 0.0000 0.9971  6 Au 2.81-2.88, 2 Pt 2.83-2.86, 4 Ag 2.85
2 Au 0.5000 0.5000 0.2558  2 Ag 2.79-2.89, 6 Au 2.81-2.88, 4 Pt 2.83
3 Pt 0.0000 0.0000 0.4998  2 Pt 2.81, 6 Au 2.83-2.86, 4 Ag 2.84
4 Ag 0.5000 0.5000 0.7473  6 Au 2.79-2.89, 2 Ag 2.81, 4 Pt 2.84

Energy of formation from the pure elements   0.01 eV per atom